Material: BaReSe2
Method: DFT, PBE
State: relaxed

**Excess energy over the best structure of this formula in the dataset**: 1.307 eV/atom
**Spin magnetization**: 4.63 μB/cell

Unit cell a=5.2997 b=5.2997 c=5.2997 alpha=60.00 beta=60.00 gamma=60.00
Last column: nearest neighbours and their distance in Å.
Positions (direct):
1 Ba 0.5000 0.5000 0.5000  4 Se 3.25, 4 Re 3.25
2 Re 0.7500 0.7500 0.7500  4 Ba 3.25, 4 Se 3.25
3 Se 0.0000 0.0000 0.0000  4 Re 3.25, 4 Se 3.25
4 Se 0.2500 0.2500 0.2500  4 Ba 3.25, 4 Se 3.25


Material: HfCd3Ag
Method: DFT, PBE
State: relaxed

**Excess energy over the best structure of this formula in the dataset**: 0.768 eV/atom
**Spin magnetization**: 0.00 μB/cell

Unit cell a=5.0502 b=5.0502 c=5.0502 alpha=90.00 beta=90.00 gamma=90.00
Last column: nearest neighbours and their distance in Å.
Positions (direct):
1 Hf 0.5000 0.5000 0.5000  12 Cd 3.57
2 Ag 0.0000 0.0000 0.0000  6 Cd 2.53
3 Cd 0.0000 0.5000 0.0000  2 Ag 2.53
4 Cd 0.0000 0.0000 0.5000  2 Ag 2.53
5 Cd 0.5000 0.0000 0.0000  2 Ag 2.53